[1]
First-principles (PBE-GGA) data for a geometry-optimized TcHAu3 structure, as listed in Alexandria via LeMat-Bulk.

Results
total energy	-20.3	eV for the cell shown
crystal system	cubic

Cell lengths 4.216, 4.216, 4.216 Å; angles 90.00, 90.00, 90.00 degrees
Site moments in Bohr magnetons follow the coordinates.
Fractional coordinates of all 5 atoms:
H 0.000 0.000 0.000  0.01
Au 0.000 0.500 0.000  0.00
Au 0.000 0.000 0.500  0.03
Au 0.500 0.000 0.000  0.10
Tc 0.500 0.500 0.500  2.60

---

[2]
First-principles (PBE-GGA) data for a geometry-optimized Ce2Th2Si4Tc structure, as listed in Alexandria via LeMat-Bulk.

Results
total energy	-62.0	eV for the cell shown
crystal system	tetragonal
raw formation energy	-363.2	meV/atom

Cell lengths 6.424, 6.424, 6.424 Å; angles 103.46, 112.56, 112.56 degrees
Fractional coordinates of all 9 atoms:
Ce 0.000 0.686 0.686
Ce 0.000 0.314 0.314
Th 0.500 0.750 0.250
Th 0.500 0.250 0.750
Si 0.000 0.755 0.245
Si 0.511 0.755 0.755
Si 0.000 0.245 0.755
Si 0.489 0.245 0.245
Tc 0.000 0.000 0.000